DFT (PBE) results for an optimized crystal structure of TaP4S5Cl5.

a = 7.2193 Å, b = 14.4678 Å, c = 18.6889 Å
α = 90.00°, β = 97.34°, γ = 90.00°
With the nearest neighbours (Å) after each atom.
Sites, in units of the cell vectors:
Ta1 0.3129 0.1982 0.0368  5 Cl 2.28-2.35
Ta2 0.1871 0.6982 0.4632  5 Cl 2.28-2.35
Ta3 0.6871 0.8018 0.9632  5 Cl 2.28-2.35
Ta4 0.8129 0.3018 0.5368  5 Cl 2.28-2.35
P1 0.7031 0.4537 0.8021  3 S 2.13-2.14
P2 0.4283 0.3567 0.1164  2 S 2.10-2.11, 1 P 2.33
P3 0.0326 0.8300 0.2597  2 S 2.12, 1 P 2.33
P4 0.5326 0.6700 0.7597  2 S 2.12, 1 P 2.33
P5 0.0717 0.8567 0.3836  2 S 2.10-2.11, 1 P 2.33
P6 0.9674 0.1700 0.7403  2 S 2.12, 1 P 2.33
P7 0.7810 0.4857 0.1906  3 S 2.13-2.14
P8 0.4674 0.3300 0.2403  2 S 2.12, 1 P 2.33
P9 0.9283 0.1433 0.6164  2 S 2.10-2.11, 1 P 2.33
P10 0.2969 0.5463 0.1979  3 S 2.13-2.14
P11 0.7969 0.9537 0.6979  3 S 2.13-2.14
P12 0.7190 0.9857 0.3094  3 S 2.13-2.14
P13 0.2190 0.5143 0.8094  3 S 2.13-2.14
P14 0.2031 0.0463 0.3021  3 S 2.13-2.14
P15 0.5717 0.6433 0.8836  2 S 2.10-2.11, 1 P 2.33
P16 0.2810 0.0143 0.6906  3 S 2.13-2.14
S1 0.0794 0.9091 0.7010  2 P 2.13
S2 0.2092 0.9351 0.2273  2 P 2.12-2.13
S3 0.8125 0.9085 0.4050  2 P 2.10-2.14
S4 0.2330 0.4654 0.1018  2 P 2.11-2.14
S5 0.2670 0.9654 0.3982  2 P 2.11-2.14
S6 0.2451 0.1217 0.7658  2 P 2.12-2.13
S7 0.1875 0.0915 0.5950  2 P 2.10-2.14
S8 0.7670 0.5346 0.8982  2 P 2.11-2.14
S9 0.7451 0.3783 0.2658  2 P 2.12-2.13
S10 0.7330 0.0346 0.6018  2 P 2.11-2.14
S11 0.5794 0.5909 0.2010  2 P 2.13
S12 0.9206 0.0909 0.2990  2 P 2.13
S13 0.3125 0.5915 0.9050  2 P 2.10-2.14
S14 0.6875 0.4085 0.0950  2 P 2.10-2.14
S15 0.7908 0.0649 0.7727  2 P 2.12-2.13
S16 0.7092 0.5649 0.7273  2 P 2.12-2.13
S17 0.7549 0.8783 0.2342  2 P 2.12-2.13
S18 0.2549 0.6217 0.7342  2 P 2.12-2.13
S19 0.4206 0.4091 0.7990  2 P 2.13
S20 0.2908 0.4351 0.2727  2 P 2.12-2.13
Cl1 0.6010 0.2982 0.6222  1 Ta 2.35
Cl2 0.3812 0.8018 0.5342  1 Ta 2.34
Cl3 0.5366 0.1344 0.1254  1 Ta 2.35
Cl4 0.8812 0.6982 0.0342  1 Ta 2.34
Cl5 0.7844 0.9353 0.0207  1 Ta 2.28
Cl6 0.1188 0.3018 0.9658  1 Ta 2.34
Cl7 0.2156 0.0647 0.9793  1 Ta 2.28
Cl8 0.6188 0.1982 0.4658  1 Ta 2.34
Cl9 0.2844 0.5647 0.5207  1 Ta 2.28
Cl10 0.0366 0.3656 0.6254  1 Ta 2.35
Cl11 0.9634 0.6344 0.3746  1 Ta 2.35
Cl12 0.4455 0.7635 0.0296  1 Ta 2.33
Cl13 0.7156 0.4353 0.4793  1 Ta 2.28
Cl14 0.1010 0.2018 0.1222  1 Ta 2.35
Cl15 0.3990 0.7018 0.3778  1 Ta 2.35
Cl16 0.5545 0.2365 0.9704  1 Ta 2.33
Cl17 0.4634 0.8656 0.8746  1 Ta 2.35
Cl18 0.9455 0.7365 0.5296  1 Ta 2.33
Cl19 0.8990 0.7982 0.8778  1 Ta 2.35
Cl20 0.0545 0.2635 0.4704  1 Ta 2.33

Computed properties:
Crystal system ... monoclinic
Energy relative to the lowest polymorph listed for this composition ... 0.002 eV per atom
Volume ... 32.266 Å³/atom

DFT (PBE) results for an optimized crystal structure of Ca2Nd2Tl3.

a = 3.7779 Å, b = 3.6595 Å, c = 16.2285 Å
α = 90.00°, β = 83.32°, γ = 90.00°
With the nearest neighbours (Å) after each atom.
Sites, in units of the cell vectors:
Ca1 0.6966 0.5000 0.6069  4 Tl 3.30, 2 Ca 3.66
Ca2 0.3034 0.5000 0.3931  4 Tl 3.30, 2 Ca 3.66
Nd1 0.5673 0.5000 0.8654  8 Tl 3.41, 4 Nd 3.66-3.78
Nd2 0.4327 0.5000 0.1346  8 Tl 3.41, 4 Nd 3.66-3.78
Tl1 0.8654 0.0000 0.2691  4 Ca 3.30, 4 Nd 3.41, 2 Tl 3.66
Tl2 0.0000 0.0000 0.0000  8 Nd 3.41, 4 Tl 3.66-3.78
Tl3 0.1346 0.0000 0.7309  4 Ca 3.30, 4 Nd 3.41, 2 Tl 3.66

Computed properties:
Crystal system ... orthorhombic
Volume ... 31.833 Å³/atom
Calculated formation energy ... -312 meV/atom

DFT (PBE) results for an optimized crystal structure of Cs5SbS4F2.

a = 7.9368 Å, b = 7.6266 Å, c = 9.1100 Å
α = 90.00°, β = 90.00°, γ = 121.36°
With the nearest neighbours (Å) after each atom.
Sites, in units of the cell vectors:
Cs1 0.1119 0.4007 0.2699  2 F 2.97-3.07
Cs2 0.3138 0.0000 0.5000  2 F 2.88
Cs3 0.1119 0.4007 0.7301  2 F 2.97-3.07
Cs4 0.7113 0.5993 0.7301  2 F 2.97-3.07
Cs5 0.7113 0.5993 0.2699  2 F 2.97-3.07
Sb1 0.4225 0.0000 0.0000  4 S 2.37
S1 0.5942 0.0000 0.2125  1 Sb 2.37
S2 0.5942 0.0000 0.7875  1 Sb 2.37
S3 0.3850 0.2882 0.0000  1 Sb 2.37
S4 0.0968 0.7118 0.0000  1 Sb 2.37
F1 0.9718 0.5907 0.5000  5 Cs 2.88-3.07
F2 0.3811 0.4093 0.5000  5 Cs 2.88-3.07

Computed properties:
Crystal system ... orthorhombic
Volume ... 39.242 Å³/atom

DFT (PBE) results for an optimized crystal structure of Ce2Zn3Hg.

a = 5.8013 Å, b = 5.8013 Å, c = 8.8998 Å
α = 102.29°, β = 102.29°, γ = 110.29°
With the nearest neighbours (Å) after each atom.
Sites, in units of the cell vectors:
Ce1 0.2500 0.7500 0.5000  4 Hg 3.19, 8 Zn 3.26, 2 Ce 3.32
Ce2 0.7263 0.7263 0.0000  1 Ce 3.00, 2 Hg 3.17, 10 Zn 3.19-3.20
Ce3 0.7500 0.2500 0.5000  4 Hg 3.19, 8 Zn 3.26, 2 Ce 3.32
Ce4 0.2737 0.2737 0.0000  1 Ce 3.00, 2 Hg 3.17, 10 Zn 3.19-3.20
Zn1 0.3192 0.8417 0.1610  2 Zn 2.62-2.66, 1 Hg 2.88
Zn2 0.1583 0.6808 0.8390  2 Zn 2.62-2.66, 1 Hg 2.88
Zn3 0.6808 0.1583 0.8390  2 Zn 2.62-2.66, 1 Hg 2.88
Zn4 0.8417 0.3192 0.1610  2 Zn 2.62-2.66, 1 Hg 2.88
Zn5 0.1597 0.1597 0.3194  2 Zn 2.62, 1 Hg 2.83
Zn6 0.8403 0.8403 0.6806  2 Zn 2.62, 1 Hg 2.83
Hg1 0.6690 0.6690 0.3379  3 Zn 2.83-2.88, 2 Ce 3.17
Hg2 0.3310 0.3310 0.6621  3 Zn 2.83-2.88, 2 Ce 3.17

Computed properties:
Crystal system ... orthorhombic
Energy relative to the lowest polymorph listed for this composition ... 0.000 eV per atom
Volume ... 21.727 Å³/atom
Calculated formation energy ... -299 meV/atom

DFT (PBE) results for an optimized crystal structure of TlFeCu2.

a = 5.1266 Å, b = 5.1266 Å, c = 5.1266 Å
α = 144.44°, β = 128.60°, γ = 64.07°
With the nearest neighbours (Å) after each atom.
Sites, in units of the cell vectors:
Cu1 0.9862 0.9862 0.0000  2 Cu 2.55, 4 Fe 2.73, 2 Tl 2.75
Cu2 0.7547 0.2547 0.5000  2 Cu 2.55, 2 Fe 2.62, 4 Tl 2.72
Fe1 0.5127 0.5127 0.0000  6 Cu 2.62-2.73, 2 Tl 2.79
Tl1 0.2464 0.7464 0.5000  6 Cu 2.72-2.75, 4 Fe 2.79-3.01

Computed properties:
Crystal system ... orthorhombic
Energy relative to the lowest polymorph listed for this composition ... 0.074 eV per atom
Volume ... 15.127 Å³/atom
Calculated formation energy ... 443 meV/atom

DFT (PBE) results for an optimized crystal structure of PtAu2Cl.

a = 3.0566 Å, b = 3.0566 Å, c = 9.1934 Å
α = 90.00°, β = 90.00°, γ = 121.37°
With the nearest neighbours (Å) after each atom.
Sites, in units of the cell vectors:
Au1 0.0000 0.0000 0.9863  2 Pt 2.71, 4 Au 2.82-2.99
Au2 0.5000 0.5000 0.2459  8 Au 2.82-3.06, 2 Cl 2.99
Cl1 0.0000 0.0000 0.5270  2 Pt 2.47
Pt1 0.5000 0.5000 0.7409  2 Cl 2.47, 2 Au 2.71

Computed properties:
Crystal system ... orthorhombic
Energy relative to the lowest polymorph listed for this composition ... 0.084 eV per atom
Volume ... 18.335 Å³/atom

DFT (PBE) results for an optimized crystal structure of SrSmMgHg.

a = 5.5544 Å, b = 5.5544 Å, c = 5.5544 Å
α = 60.00°, β = 60.00°, γ = 60.00°
With the nearest neighbours (Å) after each atom.
Sites, in units of the cell vectors:
Sr1 0.7500 0.7500 0.7500  4 Hg 3.40, 4 Mg 3.40
Mg1 0.0000 0.0000 0.0000  4 Sm 3.40, 4 Sr 3.40
Hg1 0.5000 0.5000 0.5000  4 Sr 3.40, 4 Sm 3.40
Sm1 0.2500 0.2500 0.2500  4 Mg 3.40, 4 Hg 3.40

Computed properties:
Crystal system ... cubic
Energy relative to the lowest polymorph listed for this composition ... 0.050 eV per atom
Volume ... 30.293 Å³/atom
Calculated formation energy ... -231 meV/atom

DFT (PBE) results for an optimized crystal structure of Al2CdAsBr.

a = 5.1363 Å, b = 5.5123 Å, c = 5.1363 Å
α = 90.00°, β = 90.00°, γ = 90.00°
With the nearest neighbours (Å) after each atom.
Sites, in units of the cell vectors:
As1 0.0000 0.0000 0.0000  4 Al 2.57, 2 Br 2.76
Al1 0.0000 0.0000 0.5000  2 As 2.57
Al2 0.5000 0.0000 0.0000  2 As 2.57
Br1 0.0000 0.5000 0.0000  2 As 2.76
Cd1 0.5000 0.5000 0.5000  4 Br 3.63, 8 Al 3.77

Computed properties:
Crystal system ... tetragonal
Volume ... 29.084 Å³/atom

DFT (PBE) results for an optimized crystal structure of ThVC2.

a = 3.2931 Å, b = 3.2931 Å, c = 5.9657 Å
α = 73.98°, β = 73.98°, γ = 60.00°
With the nearest neighbours (Å) after each atom.
Sites, in units of the cell vectors:
C1 0.2687 0.2687 0.1940  3 V 2.20
C2 0.7313 0.7313 0.8060  3 V 2.20
Th1 0.5000 0.5000 0.5000  6 C 2.57
V1 0.0000 0.0000 0.0000  6 C 2.20

Computed properties:
Crystal system ... trigonal
Volume ... 13.277 Å³/atom
Calculated formation energy ... -50 meV/atom

DFT (PBE) results for an optimized crystal structure of MgGeMo3.

a = 4.6534 Å, b = 4.6534 Å, c = 4.6534 Å
α = 90.00°, β = 90.00°, γ = 90.00°
With the nearest neighbours (Å) after each atom.
Sites, in units of the cell vectors:
Mg1 0.5000 0.5000 0.5000  12 Mo 3.29
Mo1 0.0000 0.5000 0.0000  2 Ge 2.33
Mo2 0.0000 0.0000 0.5000  2 Ge 2.33
Mo3 0.5000 0.0000 0.0000  2 Ge 2.33
Ge1 0.0000 0.0000 0.0000  6 Mo 2.33

Computed properties:
Crystal system ... cubic
Energy relative to the lowest polymorph listed for this composition ... 0.000 eV per atom
Volume ... 20.154 Å³/atom
Calculated formation energy ... 1199 meV/atom

no.,DFT total energy (eV/atom)
1,-4.866
2,-3.260
3,-3.854
4,-2.964
5,-4.312
6,-3.368
7,-2.306
8,-2.565
9,-8.796
10,-6.542